A geometry-optimized Sc2IrCl structure. Source: Alexandria, functional PBE.

extended XYZ file:
```
4
Lattice="-3.392 -2.718 3.162 -0.773 -2.284 4.804 -1.670 3.968 1.615" Properties=species:S:1:pos:R:3 pbc="T T T"
Cl -3.104 0.004 4.950
Ir -1.293 -0.805 2.276
Sc -4.367 -4.498 8.155
Sc -4.154 -1.252 6.957
```

A geometry-optimized ScIr2Cl structure. Source: Alexandria, functional PBE.

extended XYZ file:
```
8
Lattice="-2.734 1.586 3.668 -3.707 0.654 -3.046 -5.408 -5.517 1.549" Properties=species:S:1:pos:R:3 pbc="T T T"
Sc 0.000 0.000 0.000
Sc -5.681 -1.406 2.764
Ir -3.217 -0.485 1.887
Ir -4.318 -0.594 -0.646
Ir -6.888 -3.224 1.053
Ir -9.275 -2.252 2.049
Cl -3.220 1.120 0.311
Cl -6.167 -1.872 -0.593
```

Which uncorrected formation energy belongs to each record? In order, -0.866; 0.456 eV per atom.
Which excess energy over the best structure of this formula in the dataset belongs to each record? In order, 28.4; 84.8 kJ/mol of atoms.
Which density belongs to each record? In order, 7.14; 9.28 g/cm³.